Entry from Alexandria via LeMat-Bulk: a relaxed Ac2AlCoO6 crystal (PBE with a Hubbard U).

Geometry as POSCAR:
```
Ac2AlCoO6
1.0
0.0000 3.8843 3.8843
3.8843 0.0000 3.8843
3.8843 3.8843 0.0000
Ac Al Co O
2 1 1 6
direct
0.2500 0.2500 0.2500 Ac
0.7500 0.7500 0.7500 Ac
0.0000 0.0000 0.0000 Al
0.5000 0.5000 0.5000 Co
0.2482 0.2482 0.7518 O
0.2482 0.7518 0.2482 O
0.2482 0.7518 0.7518 O
0.7518 0.2482 0.2482 O
0.7518 0.2482 0.7518 O
0.7518 0.7518 0.2482 O
```

## Properties
E   -7.40 eV/atom
M_tot   0.00 μB per atom